The following is a meta-GGA SCAN calculation of a crystal of Cs2TiNiAs relaxed with PBEsol, from Alexandria.

Geometry as extended XYZ:
```
5
Lattice="4.679 0.000 0.000 0.000 5.898 0.000 0.000 0.000 5.898" Properties=species:S:1:pos:R:3 pbc="T T T"
As 2.339 2.949 2.949
Cs 0.000 2.949 0.000
Cs 0.000 0.000 2.949
Ti 2.339 0.000 0.000
Ni 0.000 0.000 0.000
```

Output
Total energy (eV per atom): -24.766
SG: P4/mmm (123)
Crystal system: tetragonal


The following is a meta-GGA SCAN calculation of a crystal of CsAsO3 relaxed with PBEsol, from Alexandria.

Geometry as extended XYZ:
```
5
Lattice="4.007 0.000 0.000 0.000 4.007 0.000 0.000 0.000 4.007" Properties=species:S:1:pos:R:3 pbc="T T T"
As 2.004 2.004 2.004
O 0.000 2.004 2.004
O 2.004 2.004 0.000
O 2.004 0.000 2.004
Cs 0.000 0.000 0.000
```

Output
ΔE_f (raw) (eV/atom): -0.84
SG: Pm-3m (221)
Crystal system: cubic


> Number 1 is which compound?

Cs2TiNiAs


> What is the formula in the first record?

Cs2TiNiAs